1.
# PBE TbPdNO, optimized geometry
# ΔE to the lowest computed polymorph: 0.070 eV/atom
# total magnetization: 0.001 μB/atom
# total DFT energy (no corrections): -57.27 eV for the cell shown
data_TbPdNO
_cell_length_a 4.152
_cell_length_b 4.152
_cell_length_c 7.175
_cell_angle_alpha 90.00
_cell_angle_beta 90.00
_cell_angle_gamma 90.00
_symmetry_space_group_name_H-M 'P 4/n m m'
_symmetry_Int_Tables_number 129
loop_
_symmetry_equiv_pos_as_xyz
'x,y,z'
'-x,-y,-z'
'-y+1/2,x,z'
'y+1/2,-x,-z'
'-x+1/2,-y+1/2,z'
'x+1/2,y+1/2,-z'
'y,-x+1/2,z'
'-y,x+1/2,-z'
'x+1/2,-y,-z'
'-x+1/2,y,z'
'-y,-x,-z'
'y,x,z'
'-x,y+1/2,-z'
'x,-y+1/2,z'
'y+1/2,x+1/2,-z'
'-y+1/2,-x+1/2,z'
loop_
_atom_site_label
_atom_site_fract_x
_atom_site_fract_y
_atom_site_fract_z
_atom_site_occupancy
Tb1 0.250 0.250 0.133 1
Pd1 0.250 0.750 0.500 1
N1 0.250 0.250 0.447 1
O1 0.250 0.750 0.000 1


2.
# PBE TbPdNO, optimized geometry
# ΔE to the lowest computed polymorph: 0.251 eV/atom
# total magnetization: 0.000 μB/atom
# total DFT energy (no corrections): -55.82 eV for the cell shown
data_TbPdNO
_cell_length_a 4.019
_cell_length_b 6.854
_cell_length_c 4.418
_cell_angle_alpha 90.00
_cell_angle_beta 90.00
_cell_angle_gamma 90.00
_symmetry_space_group_name_H-M 'P m c 21'
_symmetry_Int_Tables_number 26
_symmetry_space_group_name_Hall 'P 2c -2'
loop_
_atom_site_label
_atom_site_fract_x
_atom_site_fract_y
_atom_site_fract_z
_atom_site_occupancy
Tb1 0.000 0.189 0.000 1
Pd1 0.500 0.383 0.502 1
N1 0.500 0.329 0.975 1
O1 0.000 0.133 0.498 1


3.
# PBE TbPdNO, optimized geometry
# ΔE to the lowest computed polymorph: 0.364 eV/atom
# total magnetization: 0.000 μB/atom
# total DFT energy (no corrections): -54.91 eV for the cell shown
data_TbPdNO
_cell_length_a 4.816
_cell_length_b 4.816
_cell_length_c 4.495
_cell_angle_alpha 90.00
_cell_angle_beta 90.00
_cell_angle_gamma 90.00
_symmetry_space_group_name_H-M 'P 4/n m m'
_symmetry_Int_Tables_number 129
loop_
_symmetry_equiv_pos_as_xyz
'x,y,z'
'-x,-y,-z'
'-y+1/2,x,z'
'y+1/2,-x,-z'
'-x+1/2,-y+1/2,z'
'x+1/2,y+1/2,-z'
'y,-x+1/2,z'
'-y,x+1/2,-z'
'x+1/2,-y,-z'
'-x+1/2,y,z'
'-y,-x,-z'
'y,x,z'
'-x,y+1/2,-z'
'x,-y+1/2,z'
'y+1/2,x+1/2,-z'
'-y+1/2,-x+1/2,z'
loop_
_atom_site_label
_atom_site_fract_x
_atom_site_fract_y
_atom_site_fract_z
_atom_site_occupancy
Tb1 0.250 0.750 0.000 1
Pd1 0.250 0.250 0.496 1
N1 0.250 0.250 0.995 1
O1 0.250 0.750 0.500 1


4.
# PBE TcPdNO, optimized geometry
# ΔE to the lowest computed polymorph: 0.101 eV/atom
# total magnetization: 0.001 μB/atom
# total DFT energy (no corrections): -117.56 eV for the cell shown
data_TcPdNO
_cell_length_a 5.189
_cell_length_b 7.617
_cell_length_c 5.156
_cell_angle_alpha 90.00
_cell_angle_beta 90.00
_cell_angle_gamma 90.00
_symmetry_space_group_name_H-M 'P c a 21'
_symmetry_Int_Tables_number 29
_symmetry_space_group_name_Hall 'P 2c -2ac'
loop_
_atom_site_label
_atom_site_fract_x
_atom_site_fract_y
_atom_site_fract_z
_atom_site_occupancy
Tc1 0.150 0.143 0.000 1
Pd1 0.057 0.568 0.908 1
N1 0.056 0.678 0.555 1
O1 0.001 0.077 0.643 1


5.
# PBE TcPdNO, optimized geometry
# ΔE to the lowest computed polymorph: 0.459 eV/atom
# total magnetization: 0.009 μB/atom
# total DFT energy (no corrections): -55.91 eV for the cell shown
data_TcPdNO
_cell_length_a 3.855
_cell_length_b 3.855
_cell_length_c 6.087
_cell_angle_alpha 90.00
_cell_angle_beta 90.00
_cell_angle_gamma 90.00
_symmetry_space_group_name_H-M 'P 4/n m m'
_symmetry_Int_Tables_number 129
loop_
_symmetry_equiv_pos_as_xyz
'x,y,z'
'-x,-y,-z'
'-y+1/2,x,z'
'y+1/2,-x,-z'
'-x+1/2,-y+1/2,z'
'x+1/2,y+1/2,-z'
'y,-x+1/2,z'
'-y,x+1/2,-z'
'x+1/2,-y,-z'
'-x+1/2,y,z'
'-y,-x,-z'
'y,x,z'
'-x,y+1/2,-z'
'x,-y+1/2,z'
'y+1/2,x+1/2,-z'
'-y+1/2,-x+1/2,z'
loop_
_atom_site_label
_atom_site_fract_x
_atom_site_fract_y
_atom_site_fract_z
_atom_site_occupancy
Tc1 0.250 0.750 0.000 1
Pd1 0.250 0.250 0.348 1
N1 0.250 0.250 0.879 1
O1 0.250 0.750 0.500 1


6.
# PBE TcPdNO, optimized geometry
# ΔE to the lowest computed polymorph: 0.000 eV/atom
# total magnetization: 0.000 μB/atom
# total DFT energy (no corrections): -59.58 eV for the cell shown
data_TcPdNO
_cell_length_a 2.837
_cell_length_b 5.982
_cell_length_c 5.736
_cell_angle_alpha 90.00
_cell_angle_beta 90.00
_cell_angle_gamma 90.00
_symmetry_space_group_name_H-M 'P m c 21'
_symmetry_Int_Tables_number 26
_symmetry_space_group_name_Hall 'P 2c -2'
loop_
_atom_site_label
_atom_site_fract_x
_atom_site_fract_y
_atom_site_fract_z
_atom_site_occupancy
Tc1 0.000 0.130 0.000 1
Pd1 0.500 0.281 0.438 1
N1 0.000 0.146 0.674 1
O1 0.500 0.361 0.064 1


7.
# PBE TcPdNO, optimized geometry
# ΔE to the lowest computed polymorph: 0.068 eV/atom
# total magnetization: 0.000 μB/atom
# total DFT energy (no corrections): -59.04 eV for the cell shown
data_TcPdNO
_cell_length_a 3.163
_cell_length_b 6.250
_cell_length_c 5.208
_cell_angle_alpha 90.00
_cell_angle_beta 90.00
_cell_angle_gamma 90.00
_symmetry_space_group_name_H-M 'P m c 21'
_symmetry_Int_Tables_number 26
_symmetry_space_group_name_Hall 'P 2c -2'
loop_
_atom_site_label
_atom_site_fract_x
_atom_site_fract_y
_atom_site_fract_z
_atom_site_occupancy
Tc1 0.000 0.192 0.000 1
Pd1 0.500 0.412 0.543 1
N1 0.500 0.279 0.172 1
O1 0.000 0.092 0.657 1


8.
# PBE TcPdNO, optimized geometry
# ΔE to the lowest computed polymorph: 0.269 eV/atom
# total magnetization: 0.000 μB/atom
# total DFT energy (no corrections): -57.43 eV for the cell shown
data_TcPdNO
_cell_length_a 3.957
_cell_length_b 3.957
_cell_length_c 7.032
_cell_angle_alpha 90.00
_cell_angle_beta 90.00
_cell_angle_gamma 90.00
_symmetry_space_group_name_H-M 'P 4/n m m'
_symmetry_Int_Tables_number 129
loop_
_symmetry_equiv_pos_as_xyz
'x,y,z'
'-x,-y,-z'
'-y+1/2,x,z'
'y+1/2,-x,-z'
'-x+1/2,-y+1/2,z'
'x+1/2,y+1/2,-z'
'y,-x+1/2,z'
'-y,x+1/2,-z'
'x+1/2,-y,-z'
'-x+1/2,y,z'
'-y,-x,-z'
'y,x,z'
'-x,y+1/2,-z'
'x,-y+1/2,z'
'y+1/2,x+1/2,-z'
'-y+1/2,-x+1/2,z'
loop_
_atom_site_label
_atom_site_fract_x
_atom_site_fract_y
_atom_site_fract_z
_atom_site_occupancy
Tc1 0.250 0.250 0.106 1
Pd1 0.250 0.750 0.500 1
N1 0.250 0.250 0.351 1
O1 0.250 0.750 0.000 1